Entry 1:
This record from Alexandria via LeMat-Bulk describes an optimized crystal structure of ZrTl2CdSe4. The functional is PBE.

Summary:
DOS at the Fermi energy = 0.43 states/eV per cell
Space group = P2/m
Uncorrected formation energy = -0.77 eV/atom
Raw total energy = -34.30 eV for the cell shown

Cell and atoms, written as POSCAR:
```
ZrTl2CdSe4
1.0
7.196 0.000 0.000
0.000 4.005 0.000
-2.498 0.000 7.658
Zr Tl Cd Se
1 2 1 4
direct
0.000 0.000 0.000
0.000 0.500 0.500
0.500 0.000 0.500
0.500 0.500 0.000
0.213 0.500 0.205
0.256 0.000 0.807
0.744 0.000 0.193
0.787 0.500 0.795
```

Entry 2:
This record from Alexandria via LeMat-Bulk describes an optimized crystal structure of Tm2CdSe. The functional is PBE.

Summary:
DOS at the Fermi energy = 3.51 states/eV per cell
Space group = R-3m
Uncorrected formation energy = -0.55 eV/atom
Raw total energy = -15.53 eV for the cell shown

Cell and atoms, written as POSCAR:
```
Tm2CdSe
1.0
1.852 1.069 9.818
-1.852 1.069 9.818
0.000 -2.139 9.818
Tm Cd Se
2 1 1
direct
0.106 0.106 0.106
0.894 0.894 0.894
0.000 0.000 0.000
0.500 0.500 0.500
```

Entry 3:
This record from Alexandria via LeMat-Bulk describes an optimized crystal structure of TmCdSe. The functional is PBE.

Summary:
DOS at the Fermi energy = 1.66 states/eV per cell
Space group = R-3m
Uncorrected formation energy = -0.96 eV/atom
Raw total energy = -23.48 eV for the cell shown

Cell and atoms, written as POSCAR:
```
TmCdSe
1.0
2.390 1.380 7.807
-2.390 1.380 7.807
0.000 -2.760 7.807
Tm Cd Se
2 2 2
direct
0.085 0.085 0.085
0.915 0.915 0.915
0.338 0.338 0.338
0.662 0.662 0.662
0.213 0.213 0.213
0.787 0.787 0.787
```

Entry 4:
This record from Alexandria via LeMat-Bulk describes an optimized crystal structure of Tm2CdSe. The functional is PBE.

Summary:
DOS at the Fermi energy = 3.50 states/eV per cell
Space group = R3m
Uncorrected formation energy = -0.86 eV/atom
Raw total energy = -16.80 eV for the cell shown

Cell and atoms, written as POSCAR:
```
Tm2CdSe
1.0
1.869 1.079 8.435
-1.869 1.079 8.435
0.000 -2.158 8.435
Tm Cd Se
2 1 1
direct
0.000 0.000 0.000
0.152 0.152 0.152
0.575 0.575 0.575
0.743 0.743 0.743
```

Entry 5:
This record from Alexandria via LeMat-Bulk describes an optimized crystal structure of U3Cd5Se12. The functional is PBE.

Summary:
DOS at the Fermi energy = 97.26 states/eV per cell
Space group = Ia-3d
Uncorrected formation energy = -0.65 eV/atom
Raw total energy = -373.24 eV for the cell shown

Cell and atoms, written as POSCAR:
```
U3Cd5Se12
1.0
-8.167 8.167 8.167
8.167 -8.167 8.167
8.167 8.167 -8.167
U Cd Se
12 20 48
direct
0.125 0.250 0.375
0.125 0.375 0.750
0.250 0.375 0.125
0.250 0.875 0.625
0.375 0.125 0.250
0.375 0.750 0.125
0.625 0.250 0.875
0.625 0.875 0.750
0.750 0.125 0.375
0.750 0.625 0.875
0.875 0.625 0.250
0.875 0.750 0.625
0.000 0.000 0.000
0.000 0.000 0.500
0.000 0.500 0.000
0.000 0.500 0.500
0.125 0.750 0.875
0.125 0.875 0.250
0.250 0.125 0.875
0.250 0.625 0.375
0.375 0.250 0.625
0.375 0.625 0.750
0.500 0.000 0.000
0.500 0.000 0.500
0.500 0.500 0.000
0.500 0.500 0.500
0.625 0.375 0.250
0.625 0.750 0.375
0.750 0.375 0.625
0.750 0.875 0.125
0.875 0.125 0.750
0.875 0.250 0.125
0.053 0.225 0.135
0.053 0.328 0.918
0.082 0.635 0.410
0.082 0.947 0.672
0.090 0.725 0.672
0.090 0.865 0.418
0.135 0.053 0.225
0.135 0.582 0.910
0.172 0.225 0.590
0.172 0.447 0.582
0.225 0.135 0.053
0.225 0.590 0.172
0.275 0.328 0.910
0.275 0.447 0.365
0.328 0.910 0.275
0.328 0.918 0.053
0.365 0.275 0.447
0.365 0.590 0.918
0.410 0.082 0.635
0.410 0.828 0.775
0.418 0.090 0.865
0.418 0.828 0.553
0.447 0.365 0.275
0.447 0.582 0.172
0.553 0.418 0.828
0.553 0.635 0.725
0.582 0.172 0.447
0.582 0.910 0.135
0.590 0.172 0.225
0.590 0.918 0.365
0.635 0.410 0.082
0.635 0.725 0.553
0.672 0.082 0.947
0.672 0.090 0.725
0.725 0.553 0.635
0.725 0.672 0.090
0.775 0.410 0.828
0.775 0.865 0.947
0.828 0.553 0.418
0.828 0.775 0.410
0.865 0.418 0.090
0.865 0.947 0.775
0.910 0.135 0.582
0.910 0.275 0.328
0.918 0.053 0.328
0.918 0.365 0.590
0.947 0.672 0.082
0.947 0.775 0.865
```

Entry 6:
This record from Alexandria via LeMat-Bulk describes an optimized crystal structure of U6CdSe12. The functional is PBE.

Summary:
DOS at the Fermi energy = 41.37 states/eV per cell
Space group = R-3
Uncorrected formation energy = -1.02 eV/atom
Raw total energy = -129.91 eV for the cell shown

Cell and atoms, written as POSCAR:
```
U6CdSe12
1.0
6.391 3.690 3.761
-6.391 3.690 3.761
0.000 -7.379 3.761
U Cd Se
6 1 12
direct
0.121 0.803 0.633
0.197 0.367 0.879
0.367 0.879 0.197
0.633 0.121 0.803
0.803 0.633 0.121
0.879 0.197 0.367
0.500 0.500 0.500
0.070 0.675 0.924
0.076 0.930 0.325
0.177 0.440 0.556
0.325 0.076 0.930
0.440 0.556 0.177
0.444 0.823 0.560
0.556 0.177 0.440
0.560 0.444 0.823
0.675 0.924 0.070
0.823 0.560 0.444
0.924 0.070 0.675
0.930 0.325 0.076
```